GGA+U MnRuF6, relaxed; N(E_F) = 0.948 states/eV/atom; mass density = 3720 kg/m3; raw total energy = -44.65 eV per formula unit
1.0
5.4270 0.0000 0.0000
0.0000 5.6568 0.0000
-5.4178 0.0000 7.8527
Mn Ru F
2 2 12
Direct
0.0000 0.0000 0.0000 Mn
0.0000 0.5000 0.5000 Mn
0.5000 0.0000 0.5000 Ru
0.5000 0.5000 0.0000 Ru
0.1583 0.1903 0.4495 F
0.1583 0.3097 0.9495 F
0.2659 0.7109 0.4508 F
0.2659 0.7891 0.9508 F
0.3614 0.0217 0.2613 F
0.3614 0.4783 0.7613 F
0.6386 0.5217 0.2387 F
0.6386 0.9783 0.7387 F
0.7341 0.2109 0.0492 F
0.7341 0.2891 0.5492 F
0.8417 0.6903 0.0505 F
0.8417 0.8097 0.5505 F